First-principles (PBE) data for a relaxed structure of Dy5ScTl4, as listed in Alexandria via LeMat-Bulk.

Unit cell a=3.631 b=3.631 c=20.915 alpha=90.00 beta=90.00 gamma=90.00
Last column: magnetic moment on the atom in μB.
Element x y z (fractional)
Dy 0.500 0.500 0.103  -0.01
Dy 0.500 0.500 0.301  0.10
Dy 0.500 0.500 0.500  -0.10
Dy 0.500 0.500 0.699  0.10
Dy 0.500 0.500 0.897  -0.01
Sc 0.000 0.000 0.000  0.00
Tl 0.000 0.000 0.202  0.00
Tl 0.000 0.000 0.400  0.00
Tl 0.000 0.000 0.600  0.00
Tl 0.000 0.000 0.798  0.00

Values from the calculation:
The formation energy comes out at -2.68 eV per formula unit.

---

First-principles (PBE) data for a relaxed structure of Dy6Sc3Tl, as listed in Alexandria via LeMat-Bulk.

Unit cell a=3.412 b=12.416 c=13.779 alpha=100.42 beta=90.00 gamma=90.00
Element x y z (fractional)
Dy 0.750 0.493 0.688
Dy 0.250 0.507 0.312
Dy 0.750 0.810 0.078
Dy 0.250 0.190 0.922
Dy 0.750 0.344 0.115
Dy 0.250 0.656 0.885
Dy 0.750 0.743 0.305
Dy 0.250 0.257 0.695
Dy 0.750 0.120 0.473
Dy 0.250 0.880 0.527
Dy 0.750 0.777 0.717
Dy 0.250 0.223 0.283
Sc 0.750 0.423 0.904
Sc 0.250 0.577 0.096
Sc 0.750 0.627 0.502
Sc 0.250 0.373 0.498
Sc 0.750 0.074 0.096
Sc 0.250 0.926 0.904
Tl 0.750 0.034 0.721
Tl 0.250 0.966 0.279

Values from the calculation:
The formation energy comes out at 0.27 eV per formula unit.

---

First-principles (PBE) data for a relaxed structure of Dy2Sc8Tl, as listed in Alexandria via LeMat-Bulk.

Unit cell a=6.417 b=7.943 c=7.943 alpha=46.27 beta=76.55 gamma=76.55
Element x y z (fractional)
Dy 0.425 0.805 0.805
Dy 0.575 0.195 0.195
Sc 0.298 0.350 0.815
Sc 0.702 0.185 0.650
Sc 0.980 0.768 0.768
Sc 0.020 0.232 0.232
Sc 0.298 0.815 0.350
Sc 0.702 0.650 0.185
Sc 0.807 0.595 0.595
Sc 0.193 0.405 0.405
Tl 0.000 0.000 0.000

Values from the calculation:
The formation energy comes out at 1.05 eV per formula unit.

---

First-principles (PBE) data for a relaxed structure of Dy4ScTl5, as listed in Alexandria via LeMat-Bulk.

Unit cell a=3.686 b=3.686 c=19.504 alpha=90.00 beta=90.00 gamma=90.00
Element x y z (fractional)
Dy 0.000 0.000 0.191
Dy 0.000 0.000 0.397
Dy 0.000 0.000 0.603
Dy 0.000 0.000 0.809
Sc 0.000 0.000 0.000
Tl 0.500 0.500 0.089
Tl 0.500 0.500 0.293
Tl 0.500 0.500 0.500
Tl 0.500 0.500 0.707
Tl 0.500 0.500 0.911

Values from the calculation:
The formation energy comes out at -3.24 eV per formula unit.

---

First-principles (PBE) data for a relaxed structure of Dy2Sc3Tl, as listed in Alexandria via LeMat-Bulk.

Unit cell a=3.312 b=5.858 c=9.432 alpha=108.09 beta=100.11 gamma=90.00
Element x y z (fractional)
Dy 0.701 0.201 0.402
Dy 0.299 0.799 0.598
Sc 0.364 0.364 0.729
Sc 0.000 0.000 0.000
Sc 0.636 0.636 0.271
Tl 0.000 0.500 0.000

Values from the calculation:
The formation energy comes out at 1.42 eV per formula unit. The energy above the most stable polymorph in this dataset comes out at 283 meV/atom.

---

First-principles (PBE) data for a relaxed structure of Dy4Sc2Tl, as listed in Alexandria via LeMat-Bulk.

Unit cell a=5.350 b=6.687 c=11.586 alpha=90.00 beta=103.40 gamma=90.00
Last column: magnetic moment on the atom in μB.
Element x y z (fractional)
Dy 0.647 0.491 0.295  0.05
Dy 0.931 0.750 0.860  0.08
Dy 0.069 0.250 0.140  0.08
Dy 0.647 0.009 0.295  0.05
Dy 0.791 0.250 0.579  0.03
Dy 0.353 0.991 0.705  0.05
Dy 0.353 0.509 0.705  0.05
Dy 0.209 0.750 0.421  0.03
Sc 0.516 0.750 0.028  0.38
Sc 0.484 0.250 0.972  0.38
Sc 0.217 0.250 0.433  0.02
Sc 0.783 0.750 0.567  0.02
Tl 0.075 0.750 0.147  0.00
Tl 0.925 0.250 0.853  0.00

Values from the calculation:
The formation energy comes out at 0.01 eV per formula unit.